Computed, not measured: a geometry-optimized CeY4Hg5 structure at the PBE-GGA level of DFT.

abc: 3.729 3.729 18.972
angles: 90.00 90.00 90.00
Sites, in units of the cell vectors:
Ce (0.000, 0.000, 0.000)
Y (0.000, 0.000, 0.205)
Y (0.000, 0.000, 0.402)
Y (0.000, 0.000, 0.598)
Y (0.000, 0.000, 0.795)
Hg (0.500, 0.500, 0.110)
Hg (0.500, 0.500, 0.303)
Hg (0.500, 0.500, 0.500)
Hg (0.500, 0.500, 0.697)
Hg (0.500, 0.500, 0.890)

Properties
- Energy of formation from the pure elements: -466 meV per atom
- Symmetry: No. 123
- VASP energy: -0.279 Ry per atom
- D(E_F): 15.09 states/eV/cell
- Spin magnetization: 1.59 μB/f.u.



Computed, not measured: a geometry-optimized Ta2FeRe structure at the PBE-GGA level of DFT.

abc: 3.192 3.192 6.182
angles: 90.00 90.00 90.00
Sites, in units of the cell vectors:
Ta (0.000, 0.000, 0.000)
Ta (0.500, 0.500, 0.284)
Fe (0.000, 0.000, 0.518)
Re (0.500, 0.500, 0.755)

Properties
- Energy of formation from the pure elements: -62 meV per atom
- Symmetry: No. 99
- VASP energy: -0.824 Ry per atom
- D(E_F): 3.10 states/eV/cell
- Spin magnetization: 1.94 μB/f.u.



Computed, not measured: a geometry-optimized Sc3InMo structure at the PBE-GGA level of DFT.

abc: 5.276 5.276 5.276
angles: 90.00 90.00 90.00
Sites, in units of the cell vectors:
Sc (0.000, 0.000, 0.500)
Sc (0.000, 0.500, 0.000)
Sc (0.500, 0.000, 0.000)
In (0.000, 0.000, 0.000)
Mo (0.500, 0.500, 0.500)

Properties
- Energy of formation from the pure elements: 1143 meV per atom
- Symmetry: No. 221
- ΔE to the lowest computed polymorph: 0.786 eV/atom
- VASP energy: -0.395 Ry per atom
- D(E_F): 4.42 states/eV/cell
- Spin magnetization: 3.78 μB/f.u.



Computed, not measured: a geometry-optimized Ce3Tc2Ge4 structure at the PBE-GGA level of DFT.

abc: 5.845 5.845 8.295
angles: 106.87 106.87 44.85
Sites, in units of the cell vectors:
Ce (0.000, 0.000, 0.000)
Ce (0.374, 0.374, 0.306)
Ce (0.626, 0.626, 0.694)
Tc (0.317, 0.317, 0.635)
Tc (0.683, 0.683, 0.365)
Ge (0.093, 0.093, 0.400)
Ge (0.291, 0.291, 0.922)
Ge (0.709, 0.709, 0.078)
Ge (0.907, 0.907, 0.600)

Properties
- Energy of formation from the pure elements: -583 meV per atom
- Symmetry: No. 12
- VASP energy: -0.508 Ry per atom
- D(E_F): 13.44 states/eV/cell
- Spin magnetization: 1.04 μB/f.u.